# 1
The following is a PBEsol calculation of TcTe2I2 after structural relaxation, from Alexandria via LeMat-Bulk.

a b c (Å): 4.0180 4.0180 11.3335
angles (deg): 100.21 100.21 90.00
With the nearest neighbours (Å) after each atom.
Positions (direct):
I (0.4203, 0.4203, 0.8405)  4 Tc 3.34, 1 I 3.50
I (0.5797, 0.5797, 0.1595)  4 Tc 3.34, 1 I 3.50
Te (0.2500, 0.7500, 0.5000)  4 Te 2.84
Te (0.7500, 0.2500, 0.5000)  4 Te 2.84
Tc (0.0000, 0.0000, 0.0000)  8 I 3.34

Results
* E: -3.585 eV per atom
* DOS(E_F): 0.4965 states/eV per atom
* SG: I4/mmm, No. 139
* formation energy (no corrections): 3.9 eV/f.u.

=====

# 2
The following is a PBEsol calculation of MnBP2 after structural relaxation, from Alexandria via LeMat-Bulk.

a b c (Å): 5.1360 5.6073 5.1360
angles (deg): 62.74 90.00 117.26
With the nearest neighbours (Å) after each atom.
Positions (direct):
P (0.5728, 0.7500, 0.3750)  2 B 1.95
P (0.1772, 0.7500, 0.8750)  2 B 1.95
P (0.8750, 0.2500, 0.5728)  2 B 1.95
P (0.3750, 0.2500, 0.1772)  2 B 1.95
B (0.2500, 0.5000, 0.2500)  4 P 1.95
B (0.5000, 0.0000, 0.5000)  4 P 1.95
Mn (0.7500, 0.5000, 0.7500)  4 P 2.28
Mn (0.0000, 0.0000, 0.0000)  4 P 2.28

Results
* E: -7.080 eV per atom
* DOS(E_F): 0.6104 states/eV per atom
* SG: I-42d, No. 122
* formation energy: 0.01 eV per atom

=====

# 3
The following is a PBEsol calculation of Li2Mn3FeO8 after structural relaxation, from Alexandria via LeMat-Bulk.

a b c (Å): 5.6618 5.6618 5.6618
angles (deg): 60.36 60.36 60.36
With the nearest neighbours (Å) after each atom.
Positions (direct):
Li (0.1236, 0.1236, 0.1236)  4 O 1.91-1.92
Li (0.8764, 0.8764, 0.8764)  4 O 1.91-1.92
Mn (0.5000, 0.0000, 0.5000)  6 O 1.91-1.92
Mn (0.5000, 0.5000, 0.0000)  6 O 1.91-1.92
Mn (0.0000, 0.5000, 0.5000)  6 O 1.91-1.92
Fe (0.5000, 0.5000, 0.5000)  6 O 1.91
O (0.2617, 0.2617, 0.2617)  1 Li 1.91, 3 Mn 1.92
O (0.7111, 0.2622, 0.2622)  2 Mn 1.91, 1 Fe 1.91, 1 Li 1.92
O (0.2622, 0.2622, 0.7111)  2 Mn 1.91, 1 Fe 1.91, 1 Li 1.92
O (0.2622, 0.7111, 0.2622)  2 Mn 1.91, 1 Fe 1.91, 1 Li 1.92
O (0.7378, 0.2889, 0.7378)  2 Mn 1.91, 1 Fe 1.91, 1 Li 1.92
O (0.7378, 0.7378, 0.2889)  2 Mn 1.91, 1 Fe 1.91, 1 Li 1.92
O (0.2889, 0.7378, 0.7378)  2 Mn 1.91, 1 Fe 1.91, 1 Li 1.92
O (0.7383, 0.7383, 0.7383)  1 Li 1.91, 3 Mn 1.92

Results
* E: -7.789 eV per atom
* relative energy among the computed polymorphs: 0.09 kcal/mol of atoms
* DOS(E_F): 0.3505 states/eV per atom
* SG: R-3m, No. 166
* formation energy (no corrections): -24.9 eV/f.u.

=====

# 4
The following is a PBEsol calculation of SrCaSbP2 after structural relaxation, from Alexandria via LeMat-Bulk.

a b c (Å): 5.3547 5.3547 5.3630
angles (deg): 90.00 90.00 90.00
With the nearest neighbours (Å) after each atom.
Positions (direct):
Sb (0.0000, 0.0000, 0.0000)  4 P 2.68, 2 Ca 2.68
Ca (0.0000, 0.0000, 0.5000)  2 Sb 2.68
P (0.0000, 0.5000, 0.0000)  2 Sb 2.68
P (0.5000, 0.0000, 0.0000)  2 Sb 2.68
Sr (0.5000, 0.5000, 0.5000)  4 Ca 3.79, 8 P 3.79

Results
* E: -3.854 eV per atom
* DOS(E_F): 0.5496 states/eV per atom
* SG: P4/mmm, No. 123
* formation energy (no corrections): 0.8 eV/f.u.

=====

- The highest DOS(E_F) belongs to which entry?
  MnBP2